Density functional theory data (GGA-PBE) for SrTi3Al after structural relaxation.

Values from the calculation:
ρ in kg/m3: 4040
Energy of formation in kJ per mole of atoms: 175
N(E_F) in states/eV per cell: 4.0
E above lowest polymorph in meV per atom: 1064

Cell lengths 4.7344, 4.7344, 4.7344 Å; angles 90.00, 90.00, 90.00 degrees
Closest atoms and distances in Å follow each position.
Atoms (fractional coordinates):
Sr 0.0000 0.0000 0.0000  6 Ti 2.37
Ti 0.5000 0.0000 0.0000  2 Sr 2.37
Ti 0.0000 0.0000 0.5000  2 Sr 2.37
Ti 0.0000 0.5000 0.0000  2 Sr 2.37
Al 0.5000 0.5000 0.5000  12 Ti 3.35